DFT (PBE-GGA) results for a relaxed structure of CaLa4Pr4.

Cell lengths 8.361, 8.361, 8.361 Å; angles 95.79, 95.79, 142.95 degrees
Sites, in units of the cell vectors:
Ca: 0.000 0.000 0.000
La: 0.326 0.326 0.651
La: 0.326 0.674 0.000
La: 0.674 0.326 0.000
La: 0.674 0.674 0.349
Pr: 0.000 0.335 0.335
Pr: 0.000 0.665 0.665
Pr: 0.335 0.000 0.335
Pr: 0.665 0.000 0.665

- SG = No. 139
- formation energy from the elements (eV/atom) = 0.03
- crystal system = tetragonal


DFT (PBE-GGA) results for a relaxed structure of CaLa5Pr7.

Cell lengths 9.035, 9.035, 9.035 Å; angles 134.28, 102.95, 94.46 degrees
Sites, in units of the cell vectors:
Ca: 0.000 0.000 0.000
La: 0.003 0.008 0.446
La: 0.003 0.557 0.995
La: 0.563 0.008 0.005
La: 0.563 0.557 0.554
La: 0.734 0.234 0.500
Pr: 0.200 0.514 0.686
Pr: 0.234 0.734 0.500
Pr: 0.313 0.313 0.000
Pr: 0.346 0.012 0.334
Pr: 0.587 0.587 0.000
Pr: 0.679 0.012 0.666
Pr: 0.827 0.514 0.314

- SG = No. 44
- formation energy from the elements (eV/atom) = 0.19
- crystal system = orthorhombic


DFT (PBE-GGA) results for a relaxed structure of CaLaPr3.

Cell lengths 6.447, 6.447, 11.581 Å; angles 90.00, 90.00, 128.44 degrees
Sites, in units of the cell vectors:
Ca: 0.157 0.843 0.000
Ca: 0.843 0.157 0.000
La: 0.364 0.636 0.500
La: 0.636 0.364 0.500
Pr: 0.153 0.847 0.304
Pr: 0.153 0.847 0.696
Pr: 0.500 0.500 0.182
Pr: 0.500 0.500 0.818
Pr: 0.847 0.153 0.304
Pr: 0.847 0.153 0.696

- SG = No. 65
- formation energy from the elements (eV/atom) = 0.15
- crystal system = orthorhombic


DFT (PBE-GGA) results for a relaxed structure of Ca2LaPr5.

Cell lengths 11.310, 11.310, 11.310 Å; angles 152.89, 152.89, 38.72 degrees
Sites, in units of the cell vectors:
Ca: 0.250 0.250 0.000
Ca: 0.750 0.750 0.000
La: 0.000 0.000 0.000
Pr: 0.118 0.618 0.500
Pr: 0.382 0.882 0.500
Pr: 0.500 0.500 0.000
Pr: 0.618 0.118 0.500
Pr: 0.882 0.382 0.500

- SG = No. 139
- formation energy from the elements (eV/atom) = 0.04
- crystal system = tetragonal